The following is a DFT calculation (meta-GGA SCAN) of a crystal of TaSbTe2 relaxed with PBEsol.

The structure belongs to space group Amm2 (No. 38); the cell edges are 4.936, 3.596 and 10.768 Å and the angles 90.00°, 90.00° and 90.00°. The inequivalent atoms are Ta at (0.000, 0.000, 0.000), Sb at (0.500, 0.000, 0.587), Te at (0.000, 0.000, 0.275) and Te at (0.500, 0.000, 0.868).

The calculation puts the energy relative to the elements, uncorrected at 350.9 meV per atom. Its total magnetic moment is 0.00 Bohr magnetons per cell. The final energy is -353.885 eV for the cell shown.

The following is a DFT calculation (meta-GGA SCAN) of a crystal of Tl2CdTc relaxed with PBEsol.

The structure belongs to space group P4mm (No. 99); the cell edges are 3.052, 3.052 and 9.260 Å and the angles 90.00°, 90.00° and 90.00°. The inequivalent atoms are Tl at (0.000, 0.000, 0.000), Tl at (0.500, 0.500, 0.308), Cd at (0.000, 0.000, 0.588) and Tc at (0.500, 0.500, 0.787).

Its total magnetic moment is 2.07 Bohr magnetons per cell. The final energy is -208.292 eV for the cell shown. The formation energy is 45.8 kJ per mole of atoms.

The following is a DFT calculation (meta-GGA SCAN) of a crystal of Nd2ZnRu relaxed with PBEsol.

The structure belongs to space group Fm-3m (No. 225); the cell edges are 7.055, 7.055 and 7.055 Å and the angles 90.00°, 90.00° and 90.00°. The inequivalent atoms are Nd at (0.250, 0.250, 0.250), Zn at (0.000, 0.000, 0.000) and Ru at (0.000, 0.000, 0.500).

Its total magnetic moment is 0.00 Bohr magnetons per cell. The final energy is -546.624 eV for the cell shown. The formation energy is -27.7 kJ per mole of atoms.

The following is a DFT calculation (meta-GGA SCAN) of a crystal of KAu relaxed with PBEsol.

The structure belongs to space group Fm-3m (No. 225); the cell edges are 6.565, 6.565 and 6.565 Å and the angles 90.00°, 90.00° and 90.00°. The inequivalent atoms are K at (0.000, 0.000, 0.000) and Au at (0.000, 0.000, 0.500).

Its total magnetic moment is 0.00 Bohr magnetons per cell. The final energy is -312.573 eV for the cell shown. The formation energy is -31.7 kJ per mole of atoms.

The following is a DFT calculation (meta-GGA SCAN) of a crystal of MnSb2Se relaxed with PBEsol.

The structure belongs to space group P4/mmm (No. 123); the cell edges are 5.071, 5.071 and 3.292 Å and the angles 90.00°, 90.00° and 90.00°. The inequivalent atoms are Mn at (0.000, 0.000, 0.000), Sb at (0.000, 0.500, 0.500) and Se at (0.500, 0.500, 0.000).

The calculation puts the energy relative to the elements, uncorrected at 202.1 meV per atom. Its total magnetic moment is 4.38 Bohr magnetons per cell. The final energy is -112.047 eV for the cell shown.

The following is a DFT calculation (meta-GGA SCAN) of a crystal of Sr2CaTcIr relaxed with PBEsol.

The structure belongs to space group P4/mmm (No. 123); the cell edges are 5.587, 5.587 and 4.729 Å and the angles 90.00°, 90.00° and 90.00°. The inequivalent atoms are Sr at (0.000, 0.500, 0.000), Ca at (0.000, 0.000, 0.500), Tc at (0.500, 0.500, 0.000) and Ir at (0.500, 0.500, 0.500).

Its total magnetic moment is 1.23 Bohr magnetons per cell. The final energy is -157.751 eV for the cell shown. The formation energy is 50.6 kJ per mole of atoms.

The following is a DFT calculation (meta-GGA SCAN) of a crystal of YFe3Cu relaxed with PBEsol.

The structure belongs to space group Pm-3m (No. 221); the cell edges are 4.497, 4.497 and 4.497 Å and the angles 90.00°, 90.00° and 90.00°. The inequivalent atoms are Y at (0.000, 0.000, 0.000), Fe at (0.000, 0.000, 0.500) and Cu at (0.500, 0.500, 0.500).

Its total magnetic moment is 6.82 Bohr magnetons per cell. The final energy is -86.862 eV for the cell shown. The formation energy is 204.0 kJ per mole of atoms.

The following is a DFT calculation (meta-GGA SCAN) of a crystal of ScAlIn relaxed with PBEsol.

The structure belongs to space group F-43m (No. 216); the cell edges are 6.433, 6.433 and 6.433 Å and the angles 90.00°, 90.00° and 90.00°. The inequivalent atoms are Sc at (0.000, 0.000, 0.000), Al at (0.250, 0.250, 0.750) and In at (0.000, 0.000, 0.500).

Its total magnetic moment is 0.00 Bohr magnetons per cell. The final energy is -223.795 eV for the cell shown. The formation energy is -18.4 kJ per mole of atoms.

The following is a DFT calculation (meta-GGA SCAN) of a crystal of Li3Tl2Cd relaxed with PBEsol.

The structure belongs to space group P4/mmm (No. 123); the cell edges are 3.377, 3.377 and 9.979 Å and the angles 90.00°, 90.00° and 90.00°. The inequivalent atoms are Li at (0.000, 0.000, 0.000), Li at (0.000, 0.000, 0.339), Tl at (0.500, 0.500, 0.173) and Cd at (0.500, 0.500, 0.500).

Its total magnetic moment is 0.00 Bohr magnetons per cell. The final energy is -184.169 eV for the cell shown. The formation energy is -30.1 kJ per mole of atoms.

The following is a DFT calculation (meta-GGA SCAN) of a crystal of InBi2AsSe relaxed with PBEsol.

The structure belongs to space group P4/mmm (No. 123); the cell edges are 5.530, 5.530 and 5.009 Å and the angles 90.00°, 90.00° and 90.00°. The inequivalent atoms are In at (0.000, 0.000, 0.000), Bi at (0.000, 0.500, 0.500), As at (0.500, 0.500, 0.500) and Se at (0.500, 0.500, 0.000).

The calculation puts the energy relative to the elements, uncorrected at 444.4 meV per atom. Its total magnetic moment is 0.00 Bohr magnetons per cell. The final energy is -228.593 eV for the cell shown.

The following is a DFT calculation (meta-GGA SCAN) of a crystal of BaGa2HN relaxed with PBEsol.

The structure belongs to space group P4/mmm (No. 123); the cell edges are 3.892, 3.892 and 5.976 Å and the angles 90.00°, 90.00° and 90.00°. The inequivalent atoms are Ba at (0.000, 0.000, 0.000), Ga at (0.000, 0.500, 0.500), H at (0.500, 0.500, 0.500) and N at (0.500, 0.500, 0.000).

Its total magnetic moment is 0.95 Bohr magnetons per cell. The final energy is -82.806 eV for the cell shown.

The following is a DFT calculation (meta-GGA SCAN) of a crystal of Bi3PRu relaxed with PBEsol.

The structure belongs to space group Pm-3m (No. 221); the cell edges are 5.207, 5.207 and 5.207 Å and the angles 90.00°, 90.00° and 90.00°. The inequivalent atoms are Bi at (0.000, 0.000, 0.500), P at (0.000, 0.000, 0.000) and Ru at (0.500, 0.500, 0.500).

Its total magnetic moment is 2.05 Bohr magnetons per cell. The final energy is -274.411 eV for the cell shown. The formation energy is 126.5 kJ per mole of atoms.

The following is a DFT calculation (meta-GGA SCAN) of a crystal of KTl2Au relaxed with PBEsol.

The structure belongs to space group Immm (No. 71); the cell edges are 3.570, 5.644 and 10.949 Å and the angles 90.00°, 90.00° and 90.00°. The inequivalent atoms are K at (0.000, 0.000, 0.000), Tl at (0.000, 0.500, 0.209) and Au at (0.000, 0.000, 0.500).

Its total magnetic moment is 0.00 Bohr magnetons per cell. The final energy is -446.139 eV for the cell shown. The formation energy is -20.9 kJ per mole of atoms.

The following is a DFT calculation (meta-GGA SCAN) of a crystal of TcSb3Pt relaxed with PBEsol.

The structure belongs to space group Pm-3m (No. 221); the cell edges are 4.991, 4.991 and 4.991 Å and the angles 90.00°, 90.00° and 90.00°. The inequivalent atoms are Tc at (0.000, 0.000, 0.000), Sb at (0.000, 0.000, 0.500) and Pt at (0.500, 0.500, 0.500).

The calculation puts the energy relative to the elements, uncorrected at 739.2 meV per atom. Its total magnetic moment is 0.00 Bohr magnetons per cell. The final energy is -213.339 eV for the cell shown.

The following is a DFT calculation (meta-GGA SCAN) of a crystal of MnTl2Cd relaxed with PBEsol.

The structure belongs to space group I-4m2 (No. 119); the cell edges are 4.266, 4.266 and 9.548 Å and the angles 90.00°, 90.00° and 90.00°. The inequivalent atoms are Mn at (0.000, 0.000, 0.000), Tl at (0.000, 0.000, 0.500), Tl at (0.000, 0.500, 0.250) and Cd at (0.000, 0.500, 0.750).

Its total magnetic moment is 8.22 Bohr magnetons per cell. The final energy is -385.354 eV for the cell shown. The formation energy is 17.1 kJ per mole of atoms.